# 1
First-principles (GGA-PBE) data for NdYEr2 after structural relaxation, as listed in the Alexandria database.

Structure (CIF):
```
data_NdYEr2
_symmetry_space_group_name_H-M 'R -3 m'
_symmetry_Int_Tables_number 166
_symmetry_space_group_name_Hall '-R 3 2"'
_cell_length_a 3.5715
_cell_length_b 3.5715
_cell_length_c 34.8039
_cell_angle_alpha 90.00
_cell_angle_beta 90.00
_cell_angle_gamma 120.00
loop_
_atom_site_label
_atom_site_type_symbol
_atom_site_fract_x
_atom_site_fract_y
_atom_site_fract_z
Nd1 Nd 0.0000 0.0000 0.0000
Y1 Y 0.0000 0.0000 0.5000
Er1 Er 0.0000 0.0000 0.2491
```

Results
**Mass density**: 7.36 g/cm3
**Volume**: 32.04 Å³/atom
**Energy relative to the lowest polymorph listed for this composition**: 0.06 eV per formula unit
**Energy relative to the elements**: 23 meV/atom

=====

# 2
First-principles (GGA-PBE) data for Cs2RbCdF after structural relaxation, as listed in the Alexandria database.

Structure (CIF):
```
data_Cs2RbCdF
_symmetry_space_group_name_H-M 'P 4/m m m'
_symmetry_Int_Tables_number 123
_symmetry_space_group_name_Hall '-P 4 2'
_cell_length_a 6.146
_cell_length_b 6.146
_cell_length_c 5.894
_cell_angle_alpha 90.00
_cell_angle_beta 90.00
_cell_angle_gamma 90.00
loop_
_atom_site_label
_atom_site_type_symbol
_atom_site_fract_x
_atom_site_fract_y
_atom_site_fract_z
Cs1 Cs 0.000 0.500 0.000
Rb1 Rb 0.000 0.000 0.500
Cd1 Cd 0.500 0.500 0.500
F1 F 0.000 0.000 0.000
```

Results
**Mass density**: 3.60 g/cm3
**Formation energy without anion corrections**: -1.0184 eV per atom
**Volume**: 44.53 Å³/atom
**Energy relative to the lowest polymorph listed for this composition**: 0.00 eV per formula unit

=====

# 3
First-principles (GGA-PBE) data for SrPRuPb2 after structural relaxation, as listed in the Alexandria database.

Structure (CIF):
```
data_SrPRuPb2
_symmetry_space_group_name_H-M 'P 4/m m m'
_symmetry_Int_Tables_number 123
_symmetry_space_group_name_Hall '-P 4 2'
_cell_length_a 6.019
_cell_length_b 6.019
_cell_length_c 5.265
_cell_angle_alpha 90.00
_cell_angle_beta 90.00
_cell_angle_gamma 90.00
loop_
_atom_site_label
_atom_site_type_symbol
_atom_site_fract_x
_atom_site_fract_y
_atom_site_fract_z
Sr1 Sr 0.000 0.000 0.000
P1 P 0.000 0.000 0.500
Ru1 Ru 0.500 0.500 0.500
Pb1 Pb 0.000 0.500 0.000
```

Results
**Mass density**: 5.52 g/cm3
**Volume**: 38.15 Å³/atom
**Energy relative to the elements**: 1674 meV/atom

=====

# 4
First-principles (GGA-PBE) data for TaAuSe2F after structural relaxation, as listed in the Alexandria database.

Structure (CIF):
```
data_TaAuSe2F
_symmetry_space_group_name_H-M 'P 4/m m m'
_symmetry_Int_Tables_number 123
_symmetry_space_group_name_Hall '-P 4 2'
_cell_length_a 4.989
_cell_length_b 4.989
_cell_length_c 5.302
_cell_angle_alpha 90.00
_cell_angle_beta 90.00
_cell_angle_gamma 90.00
loop_
_atom_site_label
_atom_site_type_symbol
_atom_site_fract_x
_atom_site_fract_y
_atom_site_fract_z
Ta1 Ta 0.000 0.000 0.000
Au1 Au 0.000 0.000 0.500
Se1 Se 0.000 0.500 0.500
F1 F 0.500 0.500 0.000
```

Results
**Mass density**: 6.98 g/cm3
**Formation energy without anion corrections**: 1.0047 eV per atom
**Volume**: 26.39 Å³/atom

=====

# 5
First-principles (GGA-PBE) data for PmDy4Al3 after structural relaxation, as listed in the Alexandria database.

Structure (CIF):
```
data_PmDy4Al3
_symmetry_space_group_name_H-M 'I m m m'
_symmetry_Int_Tables_number 71
_symmetry_space_group_name_Hall '-I 2 2'
_cell_length_a 3.381
_cell_length_b 8.537
_cell_length_c 14.913
_cell_angle_alpha 90.00
_cell_angle_beta 90.00
_cell_angle_gamma 90.00
loop_
_atom_site_label
_atom_site_type_symbol
_atom_site_fract_x
_atom_site_fract_y
_atom_site_fract_z
Pm1 Pm 0.000 0.000 0.000
Dy1 Dy 0.000 0.304 0.141
Al1 Al 0.000 0.000 0.500
Al2 Al 0.000 0.500 0.316
```

Results
**Mass density**: 6.76 g/cm3
**Volume**: 26.90 Å³/atom
**Energy relative to the elements**: -133 meV/atom

=====

# 6
First-principles (GGA-PBE) data for SnTe5 after structural relaxation, as listed in the Alexandria database.

Structure (CIF):
```
data_SnTe5
_symmetry_space_group_name_H-M 'C m m m'
_symmetry_Int_Tables_number 65
_symmetry_space_group_name_Hall '-C 2 2'
_cell_length_a 5.584
_cell_length_b 13.802
_cell_length_c 4.920
_cell_angle_alpha 90.00
_cell_angle_beta 90.00
_cell_angle_gamma 90.00
loop_
_atom_site_label
_atom_site_type_symbol
_atom_site_fract_x
_atom_site_fract_y
_atom_site_fract_z
Sn1 Sn 0.000 0.000 0.000
Te1 Te 0.000 0.213 0.500
Te2 Te 0.000 0.362 0.000
Te3 Te 0.000 0.500 0.500
```

Results
**Mass density**: 6.63 g/cm3
**Formation energy without anion corrections**: 0.1328 eV per atom
**Volume**: 31.60 Å³/atom
**Energy relative to the lowest polymorph listed for this composition**: 1.11 eV per formula unit

=====

# 7
First-principles (GGA-PBE) data for Bi4Te7Pb after structural relaxation, as listed in the Alexandria database.

Structure (CIF):
```
data_Bi4Te7Pb
_symmetry_space_group_name_H-M 'P -3 m 1'
_symmetry_Int_Tables_number 164
_symmetry_space_group_name_Hall '-P 3 2"'
_cell_length_a 4.4772
_cell_length_b 4.4772
_cell_length_c 24.9254
_cell_angle_alpha 90.00
_cell_angle_beta 90.00
_cell_angle_gamma 120.00
loop_
_atom_site_label
_atom_site_type_symbol
_atom_site_fract_x
_atom_site_fract_y
_atom_site_fract_z
Bi1 Bi 0.3333 0.6667 0.0817
Bi2 Bi 0.3333 0.6667 0.3387
Te1 Te 0.0000 0.0000 0.0000
Te2 Te 0.0000 0.0000 0.2707
Te3 Te 0.3333 0.6667 0.5795
Te4 Te 0.3333 0.6667 0.8498
Pb1 Pb 0.0000 0.0000 0.5000
```

Results
**Mass density**: 7.43 g/cm3
**Formation energy without anion corrections**: -0.2664 eV per atom
**Volume**: 36.06 Å³/atom

=====

# 8
First-principles (GGA-PBE) data for Cs2ThH2O4 after structural relaxation, as listed in the Alexandria database.

Structure (CIF):
```
data_Cs2ThH2O4
_symmetry_space_group_name_H-M 'C 1 2/m 1'
_symmetry_Int_Tables_number 12
_cell_length_a 13.975
_cell_length_b 3.648
_cell_length_c 6.969
_cell_angle_alpha 90.00
_cell_angle_beta 108.95
_cell_angle_gamma 90.00
loop_
_symmetry_equiv_pos_as_xyz
'x,y,z'
'-x,-y,-z'
'-x,y,-z'
'x,-y,z'
'x+1/2,y+1/2,z'
'-x+1/2,-y+1/2,-z'
'-x+1/2,y+1/2,-z'
'x+1/2,-y+1/2,z'
loop_
_atom_site_label
_atom_site_type_symbol
_atom_site_fract_x
_atom_site_fract_y
_atom_site_fract_z
Cs1 Cs 0.142 0.000 0.087
Th1 Th 0.000 0.000 0.500
H1 H 0.222 0.000 0.572
O1 O 0.012 0.500 0.303
O2 O 0.184 0.000 0.668
```

Results
**Mass density**: 5.57 g/cm3
**VASP energy**: -5.977 eV per atom
**Volume**: 18.67 Å³/atom

=====

# 9
First-principles (GGA-PBE) data for GeTeAu after structural relaxation, as listed in the Alexandria database.

Structure (CIF):
```
data_GeTeAu
_symmetry_space_group_name_H-M 'P 3 m 1'
_symmetry_Int_Tables_number 156
_cell_length_a 4.0360
_cell_length_b 4.0360
_cell_length_c 4.9666
_cell_angle_alpha 90.00
_cell_angle_beta 90.00
_cell_angle_gamma 120.00
loop_
_symmetry_equiv_pos_as_xyz
'x,y,z'
'-y,x-y,z'
'-x+y,-x,z'
'-y,-x,z'
'-x+y,y,z'
'x,x-y,z'
loop_
_atom_site_label
_atom_site_type_symbol
_atom_site_fract_x
_atom_site_fract_y
_atom_site_fract_z
Ge1 Ge 0.0000 0.0000 0.0000
Te1 Te 0.6667 0.3333 0.6142
Au1 Au 0.3333 0.6667 0.2709
```

Results
**Mass density**: 9.41 g/cm3
**Formation energy without anion corrections**: -0.0125 eV per atom
**Volume**: 23.35 Å³/atom

=====

# 10
First-principles (GGA-PBE) data for Pt2SeBr after structural relaxation, as listed in the Alexandria database.

Structure (CIF):
```
data_Pt2SeBr
_symmetry_space_group_name_H-M 'P 4/m m m'
_symmetry_Int_Tables_number 123
_symmetry_space_group_name_Hall '-P 4 2'
_cell_length_a 3.311
_cell_length_b 3.311
_cell_length_c 6.865
_cell_angle_alpha 90.00
_cell_angle_beta 90.00
_cell_angle_gamma 90.00
loop_
_atom_site_label
_atom_site_type_symbol
_atom_site_fract_x
_atom_site_fract_y
_atom_site_fract_z
Pt1 Pt 0.000 0.000 0.207
Se1 Se 0.500 0.500 0.000
Br1 Br 0.500 0.500 0.500
```

Results
**Mass density**: 12.11 g/cm3
**Formation energy without anion corrections**: 0.4397 eV per atom
**Volume**: 18.82 Å³/atom
**Energy relative to the lowest polymorph listed for this composition**: 2.60 eV per formula unit

=====

# 11
First-principles (GGA-PBE) data for VCr2Re after structural relaxation, as listed in the Alexandria database.

Structure (CIF):
```
data_VCr2Re
_symmetry_space_group_name_H-M 'I m m m'
_symmetry_Int_Tables_number 71
_symmetry_space_group_name_Hall '-I 2 2'
_cell_length_a 2.783
_cell_length_b 4.254
_cell_length_c 9.451
_cell_angle_alpha 90.00
_cell_angle_beta 90.00
_cell_angle_gamma 90.00
loop_
_atom_site_label
_atom_site_type_symbol
_atom_site_fract_x
_atom_site_fract_y
_atom_site_fract_z
V1 V 0.000 0.000 0.000
Cr1 Cr 0.000 0.000 0.251
Re1 Re 0.000 0.000 0.500
```

Results
**Mass density**: 10.13 g/cm3
**Volume**: 13.99 Å³/atom
**Energy relative to the lowest polymorph listed for this composition**: 3.46 eV per formula unit
**Energy relative to the elements**: 713 meV/atom

=====

# 12
First-principles (GGA-PBE) data for K2NdCd2S4 after structural relaxation, as listed in the Alexandria database.

Structure (CIF):
```
data_K2NdCd2S4
_symmetry_space_group_name_H-M 'C 1 2/m 1'
_symmetry_Int_Tables_number 12
_cell_length_a 16.360
_cell_length_b 4.096
_cell_length_c 8.092
_cell_angle_alpha 90.00
_cell_angle_beta 114.12
_cell_angle_gamma 90.00
loop_
_symmetry_equiv_pos_as_xyz
'x,y,z'
'-x,-y,-z'
'-x,y,-z'
'x,-y,z'
'x+1/2,y+1/2,z'
'-x+1/2,-y+1/2,-z'
'-x+1/2,y+1/2,-z'
'x+1/2,-y+1/2,z'
loop_
_atom_site_label
_atom_site_type_symbol
_atom_site_fract_x
_atom_site_fract_y
_atom_site_fract_z
K1 K 0.125 0.000 0.054
Nd1 Nd 0.000 0.000 0.500
Cd1 Cd 0.187 0.500 0.523
S1 S 0.025 0.500 0.276
S2 S 0.190 0.000 0.728
```

Results
**Mass density**: 3.86 g/cm3
**Formation energy without anion corrections**: -1.1138 eV per atom
**Volume**: 27.50 Å³/atom